#w
Entry from Alexandria: a geometry-optimized Eu2DyTm structure (GGA-PBE).

Calculated values
Its volume is 138.78 Å³ per cell. The total magnetic moment comes out at 15.30 μB per cell. The space group is P4/mmm (123).

The structure in POSCAR format:
```
Eu2DyTm
1.0
3.6323 0.0000 0.0000
0.0000 3.6323 0.0000
0.0000 0.0000 10.5188
Eu Tm Dy
2 1 1
Cartesian
0.0000 0.0000 7.9121 Eu
0.0000 0.0000 2.6066 Eu
1.8161 1.8161 0.0000 Tm
1.8161 1.8161 5.2594 Dy
```

#x
Entry from Alexandria: a geometry-optimized Eu2DyTm structure (GGA-PBE).

Calculated values
Its volume is 139.21 Å³ per cell. The total magnetic moment comes out at 14.63 μB per cell. The space group is P4/mmm (123).

The structure in POSCAR format:
```
Eu2DyTm
1.0
-2.5526 -0.9404 3.1096
-1.8293 -4.6742 -2.9152
4.1815 -3.1779 2.4715
Eu Tm Dy
2 1 1
Cartesian
2.0908 -1.5890 1.2358 Eu
-0.9147 -2.3371 -1.4576 Eu
-0.1002 -4.3963 1.3330 Tm
-1.2763 -0.4702 1.5548 Dy
```

#w (46 meV per atom below the next structure)

#w
Entry from Alexandria: a geometry-optimized EuDy2Y structure (GGA-PBE).

Calculated values
Its volume is 134.50 Å³ per cell. The total magnetic moment comes out at 8.27 μB per cell. The space group is Fm-3m (225).

The structure in POSCAR format:
```
EuDy2Y
1.0
-4.5921 3.4588 0.1525
-4.5333 -1.3813 3.2580
-1.1599 3.0319 4.7472
Eu Y Dy
1 1 2
Cartesian
0.0000 0.0000 0.0000 Eu
-5.1427 2.5546 4.0789 Y
-2.5713 1.2773 2.0394 Dy
-7.7140 3.8320 6.1183 Dy
```

#x
Entry from Alexandria: a geometry-optimized EuDy2Y structure (GGA-PBE).

Calculated values
Its volume is 134.05 Å³ per cell. The total magnetic moment comes out at 7.61 μB per cell. The space group is R-3m (166).

The structure in POSCAR format:
```
EuDy2Y
1.0
3.6104 0.0000 0.0000
1.8052 3.1267 0.0000
1.8052 1.0422 11.8746
Eu Y Dy
1 1 2
Cartesian
0.0000 0.0000 0.0000 Eu
3.6104 2.0845 5.9373 Y
5.4156 3.1267 8.7821 Dy
1.8052 1.0422 3.0925 Dy
```

#x (105 meV per atom below the next structure)

#w
Entry from Alexandria: a geometry-optimized EuDyY2 structure (GGA-PBE).

Calculated values
Its volume is 135.42 Å³ per cell. The total magnetic moment comes out at 8.04 μB per cell. The space group is Fm-3m (225).

The structure in POSCAR format:
```
EuDyY2
1.0
5.7641 0.0000 0.0000
2.8821 4.9919 0.0000
2.8821 1.6640 4.7064
Eu Y Dy
1 2 1
Cartesian
5.7641 3.3279 2.3532 Eu
2.8821 1.6640 1.1766 Y
8.6462 4.9919 3.5298 Y
0.0000 0.0000 0.0000 Dy
```

#x
Entry from Alexandria: a geometry-optimized EuDyY2 structure (GGA-PBE).

Calculated values
Its volume is 133.75 Å³ per cell. The total magnetic moment comes out at 7.17 μB per cell. The space group is P4/mmm (123).

The structure in POSCAR format:
```
EuDyY2
1.0
-3.7929 -0.7684 3.3169
-0.7287 -4.6927 -1.9204
3.3434 -1.9033 3.3823
Eu Y Dy
1 2 1
Cartesian
-0.5891 -3.6822 2.3894 Eu
1.6717 -0.9516 1.6911 Y
-0.3644 -2.3464 -0.9602 Y
-1.8965 -0.3842 1.6585 Dy
```

#y
Entry from Alexandria: a geometry-optimized EuDyY2 structure (GGA-PBE).

Calculated values
Its volume is 135.72 Å³ per cell. The total magnetic moment comes out at 7.55 μB per cell. The space group is P4/mmm (123).

The structure in POSCAR format:
```
EuDyY2
1.0
3.6207 0.0000 0.0000
0.0000 3.6207 0.0000
0.0000 0.0000 10.3530
Eu Y Dy
1 2 1
Cartesian
1.8103 1.8103 5.1765 Eu
0.0000 0.0000 7.9312 Y
0.0000 0.0000 2.4218 Y
1.8103 1.8103 0.0000 Dy
```

#y (36 meV per atom below the next structure)

#w
Entry from Alexandria: a geometry-optimized EuDy2Zn structure (GGA-PBE).

Calculated values
Its volume is 120.99 Å³ per cell. The total magnetic moment comes out at 7.70 μB per cell. The space group is R-3m (166).

The structure in POSCAR format:
```
EuDy2Zn
1.0
3.6343 0.0000 0.0000
1.8172 3.1474 0.0000
1.8172 1.0491 10.5775
Eu Zn Dy
1 1 2
Cartesian
3.6343 2.0983 5.2887 Eu
0.0000 0.0000 0.0000 Zn
1.8172 1.0491 2.1741 Dy
5.4515 3.1474 8.4034 Dy
```

#x
Entry from Alexandria: a geometry-optimized EuDy2Zn structure (GGA-PBE).

Calculated values
Its volume is 116.91 Å³ per cell. The total magnetic moment comes out at 7.51 μB per cell. The space group is P4/mmm (123).

The structure in POSCAR format:
```
EuDy2Zn
1.0
3.6143 0.0000 0.0000
0.0000 3.6143 0.0000
0.0000 0.0000 8.9491
Eu Zn Dy
1 1 2
Cartesian
1.8072 1.8072 4.4746 Eu
1.8072 1.8072 0.0000 Zn
0.0000 0.0000 7.2469 Dy
0.0000 0.0000 1.7023 Dy
```

#x (90 meV per atom below the next structure)

#w
Entry from Alexandria: a geometry-optimized EuDyZn2 structure (GGA-PBE).

Calculated values
Its volume is 96.85 Å³ per cell. The total magnetic moment comes out at 7.09 μB per cell. The space group is Fm-3m (225).

The structure in POSCAR format:
```
EuDyZn2
1.0
-1.3214 3.0419 -3.9460
2.0884 -0.7589 -4.6511
-2.8799 -1.8705 -3.8442
Eu Zn Dy
1 2 1
Cartesian
0.0000 0.0000 0.0000 Eu
-0.5282 0.1031 -3.1103 Zn
-1.5847 0.3094 -9.3310 Zn
-1.0564 0.2062 -6.2207 Dy
```

#x
Entry from Alexandria: a geometry-optimized EuDyZn2 structure (GGA-PBE).

Calculated values
Its volume is 97.93 Å³ per cell. The total magnetic moment comes out at 7.15 μB per cell. The space group is P4/mmm (123).

The structure in POSCAR format:
```
EuDyZn2
1.0
-0.9589 0.4345 -3.5005
1.7315 -3.1024 -0.8594
-6.1616 -3.7765 1.2190
Eu Zn Dy
1 2 1
Cartesian
-2.6945 -3.2222 -1.5704 Eu
-4.7841 -2.9322 0.9465 Zn
-1.3775 -0.8443 0.2725 Zn
0.3863 -1.3339 -2.1800 Dy
```

#y
Entry from Alexandria: a geometry-optimized EuDyZn2 structure (GGA-PBE).

Calculated values
Its volume is 108.08 Å³ per cell. The total magnetic moment comes out at 7.87 μB per cell. The space group is R-3m (166).

The structure in POSCAR format:
```
EuDyZn2
1.0
3.7150 0.0000 0.0000
1.8575 3.2173 0.0000
1.8575 1.0724 9.0423
Eu Zn Dy
1 2 1
Cartesian
3.7150 2.1449 4.5212 Eu
5.5725 3.2173 6.9042 Zn
1.8575 1.0724 2.1381 Zn
0.0000 0.0000 0.0000 Dy
```

#x (24 meV per atom below the next structure)

#w
Entry from Alexandria: a geometry-optimized EuDyZr structure (GGA-PBE).

Calculated values
Its volume is 90.36 Å³ per cell. The total magnetic moment comes out at 7.24 μB per cell. The space group is I4mm (107).

The structure in POSCAR format:
```
EuDyZr
1.0
-3.3787 0.5767 -0.0722
-0.5749 -3.2538 0.9143
2.1680 3.3864 6.9868
Eu Zr Dy
1 1 1
Cartesian
-1.7888 0.6755 7.7066 Eu
0.1242 1.3300 4.8111 Zr
-1.9066 -0.5869 3.1402 Dy
```

#x
Entry from Alexandria: a geometry-optimized EuDyZr structure (GGA-PBE).

Calculated values
Its volume is 89.85 Å³ per cell. The total magnetic moment comes out at 7.53 μB per cell. The space group is P3m1 (156).

The structure in POSCAR format:
```
EuDyZr
1.0
3.4585 0.0000 0.0000
-1.7292 2.9951 0.0000
0.0000 0.0000 8.6740
Eu Zr Dy
1 1 1
Cartesian
0.0000 0.0000 0.1410 Eu
1.7292 0.9984 2.9888 Zr
0.0000 1.9968 5.5443 Dy
```

#w (20 meV per atom below the next structure)

#w
Entry from Alexandria: a geometry-optimized DyGa2F8 structure (GGA-PBE).

Calculated values
Its volume is 158.19 Å³ per cell. The total magnetic moment comes out at 0.00 μB per cell. The space group is P-3 (147).

The structure in POSCAR format:
```
DyGa2F8
1.0
4.0560 0.0001 -0.0002
-0.0004 5.8126 -3.3549
0.0001 -0.0017 6.7108
F Ga Dy
8 2 1
Cartesian
0.9835 3.8743 -0.0003 F
3.0722 1.9367 3.3557 F
3.0015 4.8374 -1.6780 F
1.0540 0.9647 1.6832 F
1.0541 3.8711 3.3496 F
1.0542 0.9737 5.0336 F
3.0017 4.8463 1.6724 F
3.0016 1.9399 0.0061 F
1.0627 1.9366 3.3558 Ga
2.9930 3.8744 -0.0001 Ga
0.0001 -0.0017 6.7107 Dy
```

#x
Entry from Alexandria: a geometry-optimized DyGa2F8 structure (GGA-PBE).

Calculated values
Its volume is 165.15 Å³ per cell. The total magnetic moment comes out at 1.00 μB per cell. The space group is C2/m (12).

The structure in POSCAR format:
```
DyGa2F8
1.0
5.2623 -0.2386 -0.1811
-0.3461 5.6574 -0.2505
-0.3461 1.2821 5.5159
Dy Ga F
1 2 8
Cartesian
0.0000 0.0000 0.0000 Dy
0.9646 3.9637 3.0075 Ga
3.6055 2.7371 2.0768 Ga
0.9202 2.7960 4.5523 F
3.6499 1.5638 3.6174 F
0.3982 5.4221 4.1141 F
4.1719 1.2787 0.9702 F
0.9202 5.1370 1.4670 F
3.6499 3.9048 0.5320 F
2.8561 4.2357 3.2139 F
1.7140 2.4652 1.8705 F
```

#x (69 meV per atom below the next structure)

#w
Entry from Alexandria: a geometry-optimized DyHg2F8 structure (GGA-PBE).

Calculated values
Its volume is 191.22 Å³ per cell. The total magnetic moment comes out at 0.00 μB per cell. The space group is P-3 (147).

The structure in POSCAR format:
```
DyHg2F8
1.0
4.4322 0.0001 0.0000
-0.0006 6.1135 -3.5289
0.0004 -0.0020 7.0584
F Hg Dy
8 2 1
Cartesian
1.0651 4.0749 -0.0004 F
3.3669 2.0366 3.5297 F
3.2978 5.1715 -1.9099 F
1.1341 0.9310 1.6252 F
1.1340 4.2386 3.5232 F
1.1342 0.9402 5.4393 F
3.2980 5.1806 1.9042 F
3.2980 1.8730 0.0063 F
1.1528 2.0366 3.5296 Hg
3.2792 4.0750 -0.0003 Hg
0.0004 -0.0020 7.0583 Dy
```

#x
Entry from Alexandria: a geometry-optimized DyHg2F8 structure (GGA-PBE).

Calculated values
Its volume is 178.71 Å³ per cell. The total magnetic moment comes out at 1.13 μB per cell. The space group is P-3m1 (164).

The structure in POSCAR format:
```
DyHg2F8
1.0
5.5512 0.0000 0.0000
0.0000 6.0970 0.0000
0.0000 -3.0485 5.2802
Dy Hg F
1 2 8
Cartesian
2.7756 0.0000 0.0000 Dy
5.4548 3.0485 1.7601 Hg
0.0964 0.0000 3.5201 Hg
3.5871 0.0000 3.5201 F
1.9641 3.0485 1.7601 F
1.3774 0.0000 1.6916 F
4.1738 3.0485 3.5886 F
4.1738 1.4650 0.8458 F
1.3774 1.5835 4.4344 F
1.3774 -1.5835 4.4344 F
4.1738 4.6320 0.8458 F
```

#w (103 meV per atom below the next structure)

#w
Entry from Alexandria: a geometry-optimized Dy2HgF8 structure (GGA-PBE).

Calculated values
Its volume is 144.63 Å³ per cell. The total magnetic moment comes out at 0.00 μB per cell. The space group is C2/m (12).

The structure in POSCAR format:
```
Dy2HgF8
1.0
-1.6357 -1.9349 2.6138
4.5408 -3.2369 0.4455
1.5106 6.7563 3.4119
F Hg Dy
8 1 2
Cartesian
1.4488 -1.3169 2.4667 F
0.6027 3.5418 2.9990 F
1.8044 1.4391 2.1945 F
3.7391 -2.0903 0.7925 F
2.6113 0.1453 4.2766 F
3.8129 -1.9573 3.4721 F
2.9669 2.9014 4.0044 F
0.6766 3.6748 5.6786 F
-0.8179 -0.9675 1.3069 Hg
3.3826 -0.1441 2.0101 Dy
1.0331 1.7286 4.4610 Dy
```

#x
Entry from Alexandria: a geometry-optimized Dy2HgF8 structure (GGA-PBE).

Calculated values
Its volume is 153.21 Å³ per cell. The total magnetic moment comes out at 0.00 μB per cell. The space group is C2/m (12).

The structure in POSCAR format:
```
Dy2HgF8
1.0
-2.8873 1.2551 -2.6050
1.9454 -5.7962 -2.2884
-2.7032 -4.9653 3.2643
Dy Hg F
2 1 8
Cartesian
-1.9665 -2.7742 -1.2312 Dy
-1.6786 -6.7323 -0.3979 Dy
0.0000 0.0000 0.0000 Hg
-3.3603 -2.9742 0.5083 F
-3.0796 -6.0327 1.2009 F
-3.0283 -1.0275 -2.3815 F
-0.6168 -8.4790 0.7524 F
-0.5655 -3.4738 -2.8300 F
-0.2848 -6.5323 -2.1374 F
-0.8973 -4.4950 -0.0785 F
-2.7479 -5.0115 -1.5505 F
```

#w (42 meV per atom below the next structure)

#w
Entry from Alexandria: a geometry-optimized Dy2InF structure (GGA-PBE).

Calculated values
Its volume is 88.22 Å³ per cell. The total magnetic moment comes out at 0.11 μB per cell. The space group is P4/mmm (123).

The structure in POSCAR format:
```
Dy2InF
1.0
3.2885 0.0000 0.0000
0.0000 3.2885 0.0000
0.0000 0.0000 8.1573
F In Dy
1 1 2
Cartesian
1.6443 1.6443 0.0000 F
1.6443 1.6443 4.0786 In
0.0000 0.0000 6.2870 Dy
0.0000 0.0000 1.8703 Dy
```

#x
Entry from Alexandria: a geometry-optimized Dy2InF structure (GGA-PBE).

Calculated values
Its volume is 90.00 Å³ per cell. The total magnetic moment comes out at 0.00 μB per cell. The space group is R-3m (166).

The structure in POSCAR format:
```
Dy2InF
1.0
-3.5436 -0.9070 -0.4214
-1.0298 -3.5308 0.1733
-2.5984 -0.7950 7.4760
F In Dy
1 1 2
Cartesian
0.0000 0.0000 0.0000 F
-3.5859 -2.6164 3.6140 In
-5.4469 -3.8813 5.9002 Dy
-1.7248 -1.3516 1.3277 Dy
```

#x (261 meV per atom below the next structure)

#w
Entry from Alexandria: a geometry-optimized DyInF structure (GGA-PBE).

Calculated values
Its volume is 122.10 Å³ per cell. The total magnetic moment comes out at 0.04 μB per cell. The space group is P4/nmm (129).

The structure in POSCAR format:
```
DyInF
1.0
-2.0429 1.5245 -2.9233
-2.2719 -3.1431 -0.0514
-4.9998 3.5267 5.3331
F In Dy
2 2 2
Cartesian
0.0000 0.0000 0.0000 F
-2.1574 -0.8093 -1.4874 F
-3.1978 -0.1172 2.1736 In
-3.9594 2.8346 1.6722 In
-5.2260 1.3134 4.3370 Dy
-1.9312 1.4040 -0.4912 Dy
```

#x
Entry from Alexandria: a geometry-optimized DyInF structure (GGA-PBE).

Calculated values
Its volume is 64.95 Å³ per cell. The total magnetic moment comes out at 0.00 μB per cell. The space group is I4mm (107).

The structure in POSCAR format:
```
DyInF
1.0
-1.4081 -1.3305 -2.6703
2.0277 -2.5928 0.2226
-4.2686 -0.8353 4.7051
In Dy F
1 1 1
Cartesian
-0.0581 -0.0410 0.0511 In
-1.4536 -3.2075 0.3268 Dy
-2.1374 -1.5101 1.8795 F
```

#w (333 meV per atom below the next structure)

#w
Entry from Alexandria: a geometry-optimized DyNpF6 structure (GGA-PBE).

Calculated values
Its volume is 138.51 Å³ per cell. The total magnetic moment comes out at 4.00 μB per cell. The space group is C2/m (12).

The structure in POSCAR format:
```
DyNpF6
1.0
5.7686 -0.1779 0.0000
1.2368 5.6432 0.0000
0.6184 2.8216 4.2263
Dy Np F
1 1 6
Cartesian
0.0000 0.0000 0.0000 Dy
3.5027 2.7326 0.0000 Np
5.2008 3.9468 2.8843 F
4.5825 1.1252 1.3419 F
3.0413 7.1616 2.8843 F
2.4229 4.3401 1.3419 F
5.4047 3.9868 0.0000 F
1.6007 1.4785 0.0000 F
```

#x
Entry from Alexandria: a geometry-optimized DyNpF6 structure (GGA-PBE).

Calculated values
Its volume is 237.73 Å³ per cell. The total magnetic moment comes out at 8.00 μB per cell. The space group is P4_2/m (84).

The structure in POSCAR format:
```
DyNpF6
1.0
-0.2490 -1.6475 -5.1736
5.3243 -1.0891 0.0905
-1.5755 -7.4970 2.4632
Dy Np F
2 2 12
Cartesian
1.3560 -6.9911 -0.6942 Dy
2.1437 -3.2426 -1.9257 Dy
-0.7877 -3.7485 1.2316 Np
0.0000 0.0000 0.0000 Np
0.8487 -2.9753 -0.1703 F
3.2266 -4.5196 -3.3495 F
-0.4674 -7.5487 -1.7872 F
2.9672 -7.4432 0.7306 F
2.6511 -7.2583 -2.4496 F
0.2731 -5.7141 0.7296 F
3.9671 -2.6850 -0.8327 F
0.5325 -2.7904 -3.3505 F
2.8242 -5.0719 -0.4860 F
0.6755 -5.1617 -2.1339 F
1.7563 -0.8781 -1.5494 F
3.3190 -1.8585 -3.5337 F
```

#x (72 meV per atom below the next structure)